[1]
Material: ZrTc2As
Method: DFT, PBE
State: relaxed

## Properties
- ΔH_f (0 K) (eV per atom) = 0.058
- total DFT energy (no corrections) (eV per atom) = -8.42

Cell lengths 6.4187, 6.4187, 6.4187 Å; angles 90.00, 90.00, 90.00 degrees
With the nearest neighbours (Å) after each atom.
Space group F-43m (No. 216)
Unique sites:
Zr1 0.0000 0.0000 0.0000 (multiplicity 4)  4 As 2.78, 4 Tc 2.78
Tc1 0.0000 0.0000 0.5000 (multiplicity 4)  4 As 2.78, 4 Tc 2.78
Tc2 0.2500 0.2500 0.2500 (multiplicity 4)  4 Zr 2.78, 4 Tc 2.78
As1 0.2500 0.2500 0.7500 (multiplicity 4)  4 Zr 2.78, 4 Tc 2.78

=====

[2]
Material: ZrTcAs2
Method: DFT, PBE
State: relaxed

## Properties
- ΔH_f (0 K) (eV per atom) = -0.324
- total DFT energy (no corrections) (eV per atom) = -7.38

Cell lengths 3.3153, 4.0427, 5.3565 Å; angles 90.00, 94.94, 90.00 degrees
With the nearest neighbours (Å) after each atom.
Space group P2/m (No. 10)
Unique sites:
Zr1 0.0000 0.0000 0.0000 (multiplicity 1)  8 As 2.79-3.10, 2 Tc 3.03
Tc1 0.5000 0.0000 0.5000 (multiplicity 1)  4 As 2.48
As1 0.3821 0.5000 0.7509 (multiplicity 2)  2 Tc 2.48, 1 As 2.72

=====

[3]
Material: ZrTc4As
Method: DFT, PBE
State: relaxed

## Properties
- ΔH_f (0 K) (eV per atom) = 0.102
- total DFT energy (no corrections) (eV per atom) = -9.01

Cell lengths 7.3752, 7.3752, 7.3752 Å; angles 90.00, 90.00, 90.00 degrees
With the nearest neighbours (Å) after each atom.
Space group F-43m (No. 216)
Unique sites:
Zr1 0.0000 0.0000 0.0000 (multiplicity 4)  12 Tc 3.06, 4 As 3.19
Tc1 0.1239 0.1239 0.6239 (multiplicity 16)  6 Tc 2.59-2.63
As1 0.2500 0.2500 0.2500 (multiplicity 4)  12 Tc 3.06, 4 Zr 3.19